Entry 1:
# Sn2AsAu2, optimized geometry, DFT PBE
data_Sn2AsAu2
_chemical_formula_sum 'Sn2 As1 Au2'
_cell_length_a 3.8439
_cell_length_b 3.8439
_cell_length_c 8.3683
_cell_angle_alpha 76.72
_cell_angle_beta 76.72
_cell_angle_gamma 90.00
_symmetry_space_group_name_H-M 'P 1'
_symmetry_Int_Tables_number 1
loop_
_symmetry_equiv_pos_as_xyz
'x,y,z'
loop_
_atom_site_label
_atom_site_fract_x
_atom_site_fract_y
_atom_site_fract_z
As1 0.0000 0.0000 0.0000
Au1 0.7500 0.2500 0.5000
Au2 0.2500 0.7500 0.5000
Sn1 0.4004 0.4004 0.1992
Sn2 0.5996 0.5996 0.8008
# ΔE to the lowest computed polymorph ... 41.0 meV per atom


Entry 2:
# SnAsAu2, optimized geometry, DFT PBE
data_SnAsAu2
_chemical_formula_sum 'Sn1 As1 Au2'
_cell_length_a 4.8821
_cell_length_b 4.8821
_cell_length_c 4.8821
_cell_angle_alpha 60.00
_cell_angle_beta 60.00
_cell_angle_gamma 60.00
_symmetry_space_group_name_H-M 'P 1'
_symmetry_Int_Tables_number 1
loop_
_symmetry_equiv_pos_as_xyz
'x,y,z'
loop_
_atom_site_label
_atom_site_fract_x
_atom_site_fract_y
_atom_site_fract_z
As1 0.0000 0.0000 0.0000
Au1 0.2500 0.2500 0.2500
Au2 0.7500 0.7500 0.7500
Sn1 0.5000 0.5000 0.5000
# ΔE to the lowest computed polymorph ... 114.5 meV per atom


Entry 3:
The following is a DFT calculation (PBE) of a geometry-optimized Sn2AsAu3 structure.

Geometry as CIF:
```
data_Sn2AsAu3
_chemical_formula_sum 'Sn4 As2 Au6'
_cell_length_a 4.1685
_cell_length_b 8.2702
_cell_length_c 8.9019
_cell_angle_alpha 107.39
_cell_angle_beta 90.00
_cell_angle_gamma 104.60
_symmetry_space_group_name_H-M 'P 1'
_symmetry_Int_Tables_number 1
loop_
_symmetry_equiv_pos_as_xyz
'x,y,z'
loop_
_atom_site_label
_atom_site_fract_x
_atom_site_fract_y
_atom_site_fract_z
Sn1 0.1096 0.2192 0.0082
Sn2 0.8904 0.7808 0.9918
Sn3 0.3347 0.6693 0.6369
Sn4 0.6653 0.3307 0.3631
As1 0.5526 0.1052 0.6359
As2 0.4474 0.8948 0.3641
Au1 0.9663 0.9325 0.7374
Au2 0.0337 0.0675 0.2626
Au3 0.2713 0.5427 0.9036
Au4 0.7287 0.4573 0.0964
Au5 0.1494 0.2989 0.5855
Au6 0.8506 0.7011 0.4145
```


Entry 4:
# Sn2As2Au, optimized geometry, DFT PBE
data_Sn2As2Au
_chemical_formula_sum 'Sn4 As4 Au2'
_cell_length_a 7.7100
_cell_length_b 7.7100
_cell_length_c 3.9579
_cell_angle_alpha 90.00
_cell_angle_beta 90.00
_cell_angle_gamma 90.00
_symmetry_space_group_name_H-M 'P 1'
_symmetry_Int_Tables_number 1
loop_
_symmetry_equiv_pos_as_xyz
'x,y,z'
loop_
_atom_site_label
_atom_site_fract_x
_atom_site_fract_y
_atom_site_fract_z
As1 0.3313 0.8313 0.0000
As2 0.8313 0.6687 0.0000
As3 0.6687 0.1687 0.0000
As4 0.1687 0.3313 0.0000
Au1 0.0000 0.0000 0.0000
Au2 0.5000 0.5000 0.0000
Sn1 0.1503 0.6503 0.5000
Sn2 0.6503 0.8497 0.5000
Sn3 0.8497 0.3497 0.5000
Sn4 0.3497 0.1503 0.5000
# ΔE to the lowest computed polymorph ... 50.5 meV per atom


Entry 5:
The following is a DFT calculation (PBE) of a geometry-optimized SnAs2Au3 structure.

Geometry as CIF:
```
data_SnAs2Au3
_chemical_formula_sum 'Sn2 As4 Au6'
_cell_length_a 4.2341
_cell_length_b 7.8376
_cell_length_c 12.4130
_cell_angle_alpha 138.24
_cell_angle_beta 99.82
_cell_angle_gamma 90.00
_symmetry_space_group_name_H-M 'P 1'
_symmetry_Int_Tables_number 1
loop_
_symmetry_equiv_pos_as_xyz
'x,y,z'
loop_
_atom_site_label
_atom_site_fract_x
_atom_site_fract_y
_atom_site_fract_z
Sn1 0.0000 0.5000 0.0000
Sn2 0.0000 0.0000 0.0000
As1 0.5367 0.5792 0.3199
As2 0.2167 0.9208 0.6801
As3 0.7833 0.0792 0.3199
As4 0.4633 0.4208 0.6801
Au1 0.4955 0.2500 0.0000
Au2 0.5045 0.7500 0.0000
Au3 0.1024 0.4157 0.3602
Au4 0.7421 0.0843 0.6398
Au5 0.8976 0.5843 0.6398
Au6 0.2579 0.9157 0.3602
```


Entry 6:
The following is a DFT calculation (PBE) of a geometry-optimized SnAs2Au structure.

Geometry as CIF:
```
data_SnAs2Au
_chemical_formula_sum 'Sn1 As2 Au1'
_cell_length_a 3.7599
_cell_length_b 4.4415
_cell_length_c 6.3844
_cell_angle_alpha 114.02
_cell_angle_beta 107.13
_cell_angle_gamma 90.00
_symmetry_space_group_name_H-M 'P 1'
_symmetry_Int_Tables_number 1
loop_
_symmetry_equiv_pos_as_xyz
'x,y,z'
loop_
_atom_site_label
_atom_site_fract_x
_atom_site_fract_y
_atom_site_fract_z
Sn1 0.5000 0.5000 0.0000
As1 0.2341 0.2968 0.4682
As2 0.7659 0.7032 0.5318
Au1 0.0000 0.0000 0.0000
```


How do the records compare in formation energy from the elements? In the order shown, they have 0.065 0.106 -0.039 0.140 0.034 -0.087 eV/atom.
How do the records compare in total DFT energy (no corrections)? In the order shown, they have -18.89 -14.78 -22.72 -19.88 -22.93 -16.93 eV/f.u..